# Li6Tc4O11

A geometry-optimized Li6Tc4O11 structure (PBE-GGA, OQMD).

Output
relative energy among the computed polymorphs = 47 meV per atom
symmetry = No. 1

Cell: 4.919 4.929 8.845 Å, 73.93 87.74 81.44°
Positions (direct):
Li1 0.000 0.000 0.000
Li2 0.001 0.066 0.385
Li3 0.227 0.539 0.939
Li4 0.473 0.044 0.533
Li5 0.484 0.014 0.846
Li6 0.702 0.526 0.442
Tc1 0.189 0.533 0.609
Tc2 0.463 0.048 0.195
Tc3 0.712 0.472 0.119
Tc4 0.761 0.536 0.755
O1 0.088 0.255 0.150
O2 0.104 0.318 0.487
O3 0.114 0.270 0.813
O4 0.353 0.802 0.406
O5 0.373 0.761 0.085
O6 0.376 0.752 0.732
O7 0.583 0.311 0.646
O8 0.591 0.276 0.967
O9 0.614 0.257 0.328
O10 0.844 0.801 0.557
O11 0.847 0.731 0.917